Density functional theory data (PBE) for an optimized crystal structure of PrSm2MgN.

Properties
formation energy without anion corrections = -0.608 eV per atom
mass density = 6.2 g/cm³
DOS(E_F) = 5.5 states/eV/f.u.
M_tot = 0.000 μB per cell

```
data_PrSm2MgN
_space_group_name_H-M_alt 'P 4/m m m'
_space_group_IT_number 123
_space_group_name_Hall '-P 4 2'
_cell_length_a 4.994
_cell_length_b 4.994
_cell_length_c 5.151
_cell_angle_alpha 90.00
_cell_angle_beta 90.00
_cell_angle_gamma 90.00
loop_
_atom_site_label
_atom_site_type_symbol
_atom_site_fract_x
_atom_site_fract_y
_atom_site_fract_z
Pr1 Pr 0.000 0.000 0.000
Sm1 Sm 0.000 0.500 0.500
Mg1 Mg 0.500 0.500 0.000
N1 N 0.000 0.000 0.500
```